[1]
Here is a geometry-optimized ReSb2TeCl structure from the Alexandria database. Energies are from PBE. Values from VASP.

Geometry as Quantum ESPRESSO input:
```
&SYSTEM
  ibrav = 0, nat = 5, ntyp = 4
/
ATOMIC_SPECIES
Te 127.60 Te.upf
Cl 35.45 Cl.upf
Sb 121.76 Sb.upf
Re 186.21 Re.upf
CELL_PARAMETERS angstrom
5.233 0.000 0.000
0.000 5.233 0.000
0.000 0.000 5.202
ATOMIC_POSITIONS crystal
Te 0.000 0.000 0.500
Cl 0.500 0.500 0.500
Sb 0.500 0.000 0.000
Re 0.000 0.000 0.000
Sb 0.000 0.500 0.000
```

Computed properties:
Energy above the most stable polymorph in this dataset ... 0 meV/atom
Size of the total moment ... 0.00 μB/f.u.
Volume ... 142 Å³ per cell

[2]
Here is a geometry-optimized ReSb2TeCl structure from the Alexandria database. Energies are from PBE. Values from VASP.

Geometry as Quantum ESPRESSO input:
```
&SYSTEM
  ibrav = 0, nat = 5, ntyp = 4
/
ATOMIC_SPECIES
Sb 121.76 Sb.upf
Te 127.60 Te.upf
Re 186.21 Re.upf
Cl 35.45 Cl.upf
CELL_PARAMETERS angstrom
-1.538 1.745 -4.620
-2.253 -4.553 -0.970
-4.577 1.796 2.202
ATOMIC_POSITIONS crystal
Sb 0.500 0.000 0.000
Sb 0.000 0.500 0.000
Te 0.000 0.000 0.500
Re 0.500 0.500 0.500
Cl 0.000 0.000 0.000
```

Computed properties:
Energy above the most stable polymorph in this dataset ... 1244 meV/atom
Size of the total moment ... 3.21 μB/f.u.
Volume ... 144 Å³ per cell

[3]
Here is a geometry-optimized ReSbW2Cl structure from the Alexandria database. Energies are from PBE. Values from VASP.

Geometry as Quantum ESPRESSO input:
```
&SYSTEM
  ibrav = 0, nat = 5, ntyp = 4
/
ATOMIC_SPECIES
W 183.84 W.upf
Cl 35.45 Cl.upf
Re 186.21 Re.upf
Sb 121.76 Sb.upf
CELL_PARAMETERS angstrom
4.927 0.000 0.000
0.000 4.532 0.000
0.000 0.000 4.927
ATOMIC_POSITIONS crystal
W 0.000 0.000 0.500
Cl 0.000 0.500 0.000
Re 0.000 0.000 0.000
Sb 0.500 0.500 0.500
W 0.500 0.000 0.000
```

Computed properties:
Size of the total moment ... 1.67 μB/f.u.
Volume ... 110 Å³ per cell

[4]
Here is a geometry-optimized ZrRe2SbCl structure from the Alexandria database. Energies are from PBE. Values from VASP.

Geometry as Quantum ESPRESSO input:
```
&SYSTEM
  ibrav = 0, nat = 5, ntyp = 4
/
ATOMIC_SPECIES
Zr 91.22 Zr.upf
Sb 121.76 Sb.upf
Re 186.21 Re.upf
Cl 35.45 Cl.upf
CELL_PARAMETERS angstrom
-1.247 -0.746 -4.739
-0.570 -4.887 0.919
-4.764 0.769 1.132
ATOMIC_POSITIONS crystal
Zr 0.500 0.500 0.500
Sb 0.000 0.000 0.000
Re 0.000 0.000 0.500
Re 0.500 0.000 0.000
Cl 0.000 0.500 0.000
```

Computed properties:
Size of the total moment ... 2.04 μB/f.u.
Volume ... 123 Å³ per cell

[5]
Here is a geometry-optimized ScRe2Cl structure from the Alexandria database. Energies are from PBE. Values from VASP.

Geometry as Quantum ESPRESSO input:
```
&SYSTEM
  ibrav = 0, nat = 4, ntyp = 3
/
ATOMIC_SPECIES
Re 186.21 Re.upf
Sc 44.96 Sc.upf
Cl 35.45 Cl.upf
CELL_PARAMETERS angstrom
6.162 -0.016 0.000
4.096 4.604 0.000
-5.129 -2.294 2.530
ATOMIC_POSITIONS crystal
Re 0.500 0.500 0.000
Sc 0.250 0.750 0.500
Re 0.000 0.000 0.000
Cl 0.750 0.250 0.500
```

Computed properties:
Energy above the most stable polymorph in this dataset ... 522 meV/atom
Size of the total moment ... 0.00 μB/f.u.
Volume ... 72 Å³ per cell

[6]
Here is a geometry-optimized ScReCl2 structure from the Alexandria database. Energies are from PBE. Values from VASP.

Geometry as Quantum ESPRESSO input:
```
&SYSTEM
  ibrav = 0, nat = 8, ntyp = 3
/
ATOMIC_SPECIES
Sc 44.96 Sc.upf
Re 186.21 Re.upf
Cl 35.45 Cl.upf
CELL_PARAMETERS angstrom
4.295 0.000 0.000
0.000 4.295 0.000
2.147 2.147 7.996
ATOMIC_POSITIONS crystal
Sc 0.250 0.750 0.500
Sc 0.500 0.500 0.000
Re 0.750 0.250 0.500
Re 0.000 0.000 0.000
Cl 0.875 0.895 0.750
Cl 0.645 0.125 0.250
Cl 0.375 0.355 0.750
Cl 0.105 0.625 0.250
```

Computed properties:
Energy above the most stable polymorph in this dataset ... 512 meV/atom
Size of the total moment ... 0.00 μB/f.u.
Volume ... 147 Å³ per cell

[7]
Here is a geometry-optimized ScRe2Cl structure from the Alexandria database. Energies are from PBE. Values from VASP.

Geometry as Quantum ESPRESSO input:
```
&SYSTEM
  ibrav = 0, nat = 4, ntyp = 3
/
ATOMIC_SPECIES
Re 186.21 Re.upf
Sc 44.96 Sc.upf
Cl 35.45 Cl.upf
CELL_PARAMETERS angstrom
-0.512 -1.996 4.799
-3.899 -3.465 -0.254
4.739 0.914 -1.995
ATOMIC_POSITIONS crystal
Re 0.997 0.997 0.000
Sc 0.468 0.468 0.000
Cl 0.229 0.729 0.500
Re 0.806 0.306 0.500
```

Computed properties:
Energy above the most stable polymorph in this dataset ... 666 meV/atom
Size of the total moment ... 0.00 μB/f.u.
Volume ... 76 Å³ per cell

[8]
Here is a geometry-optimized Sc2ReCl structure from the Alexandria database. Energies are from PBE. Values from VASP.

Geometry as Quantum ESPRESSO input:
```
&SYSTEM
  ibrav = 0, nat = 4, ntyp = 3
/
ATOMIC_SPECIES
Sc 44.96 Sc.upf
Cl 35.45 Cl.upf
Re 186.21 Re.upf
CELL_PARAMETERS angstrom
-0.217 -4.041 2.405
-0.784 0.062 4.641
-4.120 -1.502 1.712
ATOMIC_POSITIONS crystal
Sc 0.250 0.250 0.250
Cl 0.000 0.000 0.000
Sc 0.750 0.750 0.750
Re 0.500 0.500 0.500
```

Computed properties:
Energy above the most stable polymorph in this dataset ... 768 meV/atom
Size of the total moment ... 0.00 μB/f.u.
Volume ... 74 Å³ per cell

[9]
Here is a geometry-optimized Sc2ReCl structure from the Alexandria database. Energies are from PBE. Values from VASP.

Geometry as Quantum ESPRESSO input:
```
&SYSTEM
  ibrav = 0, nat = 4, ntyp = 3
/
ATOMIC_SPECIES
Cl 35.45 Cl.upf
Sc 44.96 Sc.upf
Re 186.21 Re.upf
CELL_PARAMETERS angstrom
3.226 0.000 0.000
0.000 3.361 -0.041
0.000 0.116 7.522
ATOMIC_POSITIONS crystal
Cl 0.500 0.250 0.250
Sc 0.000 0.251 0.545
Re 0.500 0.750 0.750
Sc 0.000 0.249 0.955
```

Computed properties:
Energy above the most stable polymorph in this dataset ... 0 meV/atom
Size of the total moment ... 0.00 μB/f.u.
Volume ... 82 Å³ per cell

[10]
Here is a geometry-optimized ScRe2Cl structure from the Alexandria database. Energies are from PBE. Values from VASP.

Geometry as Quantum ESPRESSO input:
```
&SYSTEM
  ibrav = 0, nat = 4, ntyp = 3
/
ATOMIC_SPECIES
Re 186.21 Re.upf
Cl 35.45 Cl.upf
Sc 44.96 Sc.upf
CELL_PARAMETERS angstrom
6.536 -0.005 0.002
4.583 4.660 -0.002
-5.239 -3.093 2.389
ATOMIC_POSITIONS crystal
Re 0.531 0.531 0.000
Cl 0.250 0.750 0.500
Re 0.969 0.969 0.000
Sc 0.750 0.250 0.500
```

Computed properties:
Energy above the most stable polymorph in this dataset ... 387 meV/atom
Size of the total moment ... 0.00 μB/f.u.
Volume ... 73 Å³ per cell

[11]
Here is a geometry-optimized ScReCl2 structure from the Alexandria database. Energies are from PBE. Values from VASP.

Geometry as Quantum ESPRESSO input:
```
&SYSTEM
  ibrav = 0, nat = 4, ntyp = 3
/
ATOMIC_SPECIES
Sc 44.96 Sc.upf
Re 186.21 Re.upf
Cl 35.45 Cl.upf
CELL_PARAMETERS angstrom
4.140 0.000 0.000
0.000 3.585 -0.004
0.000 0.114 4.818
ATOMIC_POSITIONS crystal
Sc 0.500 0.750 0.750
Re 0.500 0.250 0.250
Cl 0.000 0.029 0.020
Cl 0.000 0.471 0.480
```

Computed properties:
Energy above the most stable polymorph in this dataset ... 526 meV/atom
Size of the total moment ... 0.00 μB/f.u.
Volume ... 72 Å³ per cell

[12]
Here is a geometry-optimized ScRe2Cl structure from the Alexandria database. Energies are from PBE. Values from VASP.

Geometry as Quantum ESPRESSO input:
```
&SYSTEM
  ibrav = 0, nat = 4, ntyp = 3
/
ATOMIC_SPECIES
Sc 44.96 Sc.upf
Re 186.21 Re.upf
Cl 35.45 Cl.upf
CELL_PARAMETERS angstrom
-5.564 -1.348 -0.315
-4.063 -3.753 -1.509
0.083 -1.807 3.744
ATOMIC_POSITIONS crystal
Sc 0.750 0.750 0.750
Re 0.466 0.466 0.542
Re 0.034 0.034 0.958
Cl 0.250 0.250 0.250
```

Computed properties:
Energy above the most stable polymorph in this dataset ... 344 meV/atom
Size of the total moment ... 0.00 μB/f.u.
Volume ... 71 Å³ per cell

| no. | ΔE_f (raw) (eV per atom) |
| --- | --- |
| 1 | 0.443 |
| 2 | 1.687 |
| 3 | 1.654 |
| 4 | 1.781 |
| 5 | 0.260 |
| 6 | -0.010 |
| 7 | 0.405 |
| 8 | 0.050 |
| 9 | -0.718 |
| 10 | 0.125 |
| 11 | 0.005 |
| 12 | 0.082 |